# 1
This record from Alexandria describes an optimized crystal structure of CsGa2Ge4. The functional is PBE.

Cell: 6.4273 6.4273 6.4273 Å, 121.35 121.35 87.68°
Last column: nearest neighbours and their distance in Å.
Positions (direct):
Cs1 0.0000 0.0000 0.0000  8 Ge 3.41-3.71
Ga1 0.2500 0.7500 0.5000  4 Ge 2.71
Ga2 0.7500 0.2500 0.5000  4 Ge 2.71
Ge1 0.2393 0.2393 0.7232  1 Ge 2.46, 2 Ga 2.71
Ge2 0.4839 0.7607 0.0000  1 Ge 2.46, 2 Ga 2.71
Ge3 0.5161 0.5161 0.2768  1 Ge 2.46, 2 Ga 2.71
Ge4 0.7607 0.4839 0.0000  1 Ge 2.46, 2 Ga 2.71

As for the theoretical density: 5.087 Mg/m³. The calculated total energy is -24.65 eV/cell. As for the space group: I-42m (121).

***

# 2
This record from Alexandria describes an optimized crystal structure of Cs3GaGe2. The functional is PBE.

Cell: 12.0273 12.0273 14.1312 Å, 119.57 119.57 21.05°
Last column: nearest neighbours and their distance in Å.
Positions (direct):
Cs1 0.0328 0.0328 0.2496  3 Ge 3.64-3.76, 2 Ga 3.97
Cs2 0.1872 0.1872 0.5993  3 Ge 3.59-3.70, 2 Ga 3.92
Cs3 0.3241 0.3241 0.9741  3 Ge 3.63-3.93
Cs4 0.6759 0.6759 0.0259  3 Ge 3.63-3.93
Cs5 0.8128 0.8128 0.4007  3 Ge 3.59-3.70, 2 Ga 3.92
Cs6 0.9672 0.9672 0.7504  3 Ge 3.64-3.76, 2 Ga 3.97
Ga1 0.4158 0.4158 0.3130  4 Ge 2.59-2.69
Ga2 0.5842 0.5842 0.6870  4 Ge 2.59-2.69
Ge1 0.1325 0.1325 0.7947  2 Ga 2.59
Ge2 0.4583 0.4583 0.5273  1 Ge 2.45, 2 Ga 2.67-2.69
Ge3 0.5417 0.5417 0.4727  1 Ge 2.45, 2 Ga 2.67-2.69
Ge4 0.8675 0.8675 0.2053  2 Ga 2.59

As for the theoretical density: 3.209 Mg/m³. The calculated total energy is -29.53 eV/cell. As for the space group: C2/m (12).

***

# 3
This record from Alexandria describes an optimized crystal structure of CsGa4Ge2. The functional is PBE.

Cell: 8.5010 8.5010 4.6940 Å, 90.00 90.00 147.08°
Last column: nearest neighbours and their distance in Å.
Positions (direct):
Cs1 0.0000 0.0000 0.0000  8 Ge 3.95, 8 Ga 3.98-4.15
Ga1 0.1969 0.8031 0.5000  3 Ge 2.66-2.86, 4 Ga 2.82-2.97
Ga2 0.2929 0.7071 0.0000  2 Ge 2.68, 4 Ga 2.79-2.82
Ga3 0.7071 0.2929 0.0000  2 Ge 2.68, 4 Ga 2.79-2.82
Ga4 0.8031 0.1969 0.5000  3 Ge 2.66-2.86, 4 Ga 2.82-2.97
Ge1 0.3725 0.6275 0.5000  5 Ga 2.66-2.86
Ge2 0.6275 0.3725 0.5000  5 Ga 2.66-2.86

As for the theoretical density: 5.017 Mg/m³. For the energy above the most stable polymorph in this dataset, the calculation gives 0 meV/atom. As for the space group: Cmmm (65).